The following is a DFT calculation (PBE+U) of crystalline TbCrO4F at its relaxed geometry.

Cell lengths 9.3407, 7.2589, 6.7162 Å; angles 90.00, 106.57, 90.00 degrees
Space group C2/m (No. 12)
Unique sites:
1 Tb 0.2047 0.0000 0.1049 (multiplicity 4)
2 Cr 0.1508 0.5000 0.2775 (multiplicity 4)
3 O 0.0300 0.5000 0.7556 (multiplicity 4)
4 O 0.1998 0.3185 0.1531 (multiplicity 8)
5 O 0.2400 0.5000 0.5252 (multiplicity 4)
6 F 0.0135 0.0000 0.8203 (multiplicity 4)

Values from the calculation:
Volume, Å³ per cell: 436.47
Raw total energy, eV per atom: -7.203